(1)
# AlNiH2

A relaxed structure of AlNiH2 (PBE, the Alexandria database).

Cell: 5.016 5.016 5.016 Å, 132.62 132.62 69.25°
Fractional positions:
Al: 0.000 0.000 0.000
Al: 0.750 0.250 0.500
Ni: 0.250 0.750 0.500
Ni: 0.500 0.500 0.000
H: 0.188 0.625 0.063
H: 0.375 0.438 0.563
H: 0.562 0.125 0.937
H: 0.875 0.812 0.437

Final energy in eV for the cell shown: -31.68
Distance to the lowest polymorph of the same formula in eV per atom: 0.000

---

(2)
# AlNi3H

A relaxed structure of AlNi3H (PBE, the Alexandria database).

Cell: 6.563 6.563 6.563 Å, 39.72 39.72 39.72°
Fractional positions:
Al: 0.167 0.167 0.167
Al: 0.833 0.833 0.833
Ni: 0.053 0.391 0.733
Ni: 0.267 0.947 0.609
Ni: 0.391 0.733 0.053
Ni: 0.609 0.267 0.947
Ni: 0.733 0.053 0.391
Ni: 0.947 0.609 0.267
H: 0.342 0.342 0.342
H: 0.658 0.658 0.658

Final energy in eV for the cell shown: -50.25
Distance to the lowest polymorph of the same formula in eV per atom: 0.286

---

(3)
# Al3Ni9H2

A relaxed structure of Al3Ni9H2 (PBE, the Alexandria database).

Cell: 5.086 5.086 12.480 Å, 90.00 90.00 120.00°
Fractional positions:
Al: 0.000 0.000 0.250
Al: 0.000 0.000 0.750
Al: 0.333 0.667 0.084
Al: 0.333 0.667 0.416
Al: 0.667 0.333 0.584
Al: 0.667 0.333 0.916
Ni: 0.002 0.501 0.250
Ni: 0.164 0.327 0.582
Ni: 0.164 0.327 0.918
Ni: 0.164 0.836 0.582
Ni: 0.164 0.836 0.918
Ni: 0.327 0.164 0.082
Ni: 0.327 0.164 0.418
Ni: 0.499 0.501 0.250
Ni: 0.499 0.998 0.250
Ni: 0.501 0.002 0.750
Ni: 0.501 0.499 0.750
Ni: 0.673 0.836 0.582
Ni: 0.673 0.836 0.918
Ni: 0.836 0.164 0.082
Ni: 0.836 0.164 0.418
Ni: 0.836 0.673 0.082
Ni: 0.836 0.673 0.418
Ni: 0.998 0.499 0.750
H: 0.333 0.667 0.657
H: 0.333 0.667 0.843
H: 0.667 0.333 0.157
H: 0.667 0.333 0.343

Final energy in eV for the cell shown: -151.69

---

(4)
# AlNi3H

A relaxed structure of AlNi3H (PBE, the Alexandria database).

Cell: 2.510 6.215 6.215 Å, 45.71 90.00 90.00°
Fractional positions:
Al: 0.000 0.000 0.000
Ni: 0.000 0.422 0.939
Ni: 0.000 0.939 0.422
Ni: 0.500 0.827 0.827
H: 0.500 0.655 0.655

Final energy in eV for the cell shown: -23.26
Distance to the lowest polymorph of the same formula in eV per atom: 0.658

---

(5)
# AlNi3H

A relaxed structure of AlNi3H (PBE, the Alexandria database).

Cell: 7.825 7.825 3.670 Å, 103.49 103.49 26.00°
Fractional positions:
Al: 0.070 0.070 0.320
Al: 0.930 0.930 0.680
Ni: 0.188 0.188 0.938
Ni: 0.315 0.315 0.566
Ni: 0.440 0.440 0.191
Ni: 0.560 0.560 0.809
Ni: 0.685 0.685 0.434
Ni: 0.812 0.812 0.062
H: 0.316 0.316 0.068
H: 0.684 0.684 0.932

Final energy in eV for the cell shown: -52.16
Distance to the lowest polymorph of the same formula in eV per atom: 0.095

---

(6)
# Al3NiH

A relaxed structure of Al3NiH (PBE, the Alexandria database).

Cell: 3.904 3.904 3.904 Å, 90.00 90.00 90.00°
Fractional positions:
Al: 0.000 0.000 0.500
Al: 0.000 0.500 0.000
Al: 0.500 0.000 0.000
Ni: 0.500 0.500 0.500
H: 0.000 0.000 0.000

Final energy in eV for the cell shown: -20.25
Distance to the lowest polymorph of the same formula in eV per atom: 0.000

---

(7)
# Al2Ni6H

A relaxed structure of Al2Ni6H (PBE, the Alexandria database).

Cell: 5.074 5.074 8.310 Å, 90.00 90.00 120.00°
Fractional positions:
Al: 0.000 0.000 0.000
Al: 0.000 0.000 0.500
Al: 0.333 0.667 0.250
Al: 0.667 0.333 0.750
Ni: 0.005 0.502 0.999
Ni: 0.167 0.334 0.752
Ni: 0.167 0.833 0.752
Ni: 0.334 0.167 0.252
Ni: 0.498 0.502 0.999
Ni: 0.498 0.995 0.999
Ni: 0.502 0.005 0.499
Ni: 0.502 0.498 0.499
Ni: 0.666 0.833 0.752
Ni: 0.833 0.167 0.252
Ni: 0.833 0.666 0.252
Ni: 0.995 0.498 0.499
H: 0.333 0.667 0.617
H: 0.667 0.333 0.117

Final energy in eV for the cell shown: -98.44

---

(8)
# AlNi3H

A relaxed structure of AlNi3H (PBE, the Alexandria database).

Cell: 5.159 5.159 5.159 Å, 121.52 121.50 87.41°
Fractional positions:
Al: 0.233 0.233 0.000
Al: 0.767 0.767 0.000
Ni: 0.252 0.752 0.500
Ni: 0.255 0.249 0.504
Ni: 0.255 0.751 0.007
Ni: 0.745 0.249 0.993
Ni: 0.745 0.751 0.496
Ni: 0.748 0.248 0.500
H: 0.000 0.500 0.500
H: 0.500 0.500 0.000

Final energy in eV for the cell shown: -52.45
Distance to the lowest polymorph of the same formula in eV per atom: 0.066

---

(9)
# AlNi3H

A relaxed structure of AlNi3H (PBE, the Alexandria database).

Cell: 4.494 4.494 5.075 Å, 90.00 90.00 111.20°
Fractional positions:
Al: 0.238 0.762 0.750
Al: 0.762 0.238 0.250
Ni: 0.239 0.761 0.250
Ni: 0.251 0.251 0.000
Ni: 0.251 0.251 0.500
Ni: 0.749 0.749 0.000
Ni: 0.749 0.749 0.500
Ni: 0.761 0.239 0.750
H: 0.462 0.538 0.250
H: 0.538 0.462 0.750

Final energy in eV for the cell shown: -52.24
Distance to the lowest polymorph of the same formula in eV per atom: 0.087

---

(10)
# AlNi3H

A relaxed structure of AlNi3H (PBE, the Alexandria database).

Cell: 4.627 6.578 6.801 Å, 90.00 90.00 90.00°
Fractional positions:
Al: 0.000 0.000 0.000
Al: 0.000 0.500 0.000
Al: 0.500 0.000 0.500
Al: 0.500 0.500 0.500
Ni: 0.038 0.074 0.341
Ni: 0.038 0.426 0.341
Ni: 0.220 0.250 0.697
Ni: 0.280 0.750 0.197
Ni: 0.462 0.574 0.841
Ni: 0.462 0.926 0.841
Ni: 0.538 0.074 0.159
Ni: 0.538 0.426 0.159
Ni: 0.720 0.250 0.803
Ni: 0.780 0.750 0.303
Ni: 0.962 0.574 0.659
Ni: 0.962 0.926 0.659
H: 0.041 0.750 0.470
H: 0.459 0.250 0.970
H: 0.541 0.750 0.030
H: 0.959 0.250 0.530

Final energy in eV for the cell shown: -100.17
Distance to the lowest polymorph of the same formula in eV per atom: 0.303

---

(11)
# AlNiH3

A relaxed structure of AlNiH3 (PBE, the Alexandria database).

Cell: 3.432 3.432 3.432 Å, 90.00 90.00 90.00°
Fractional positions:
Al: 0.000 0.000 0.000
Ni: 0.500 0.500 0.500
H: 0.000 0.000 0.500
H: 0.000 0.500 0.000
H: 0.500 0.000 0.000

Final energy in eV for the cell shown: -16.71

---

(12)
# AlNi3H

A relaxed structure of AlNi3H (PBE, the Alexandria database).

Cell: 4.152 5.066 4.541 Å, 90.00 91.89 90.00°
Fractional positions:
Al: 0.240 0.250 0.347
Al: 0.760 0.750 0.653
Ni: 0.246 0.002 0.833
Ni: 0.246 0.498 0.833
Ni: 0.250 0.750 0.337
Ni: 0.750 0.250 0.663
Ni: 0.754 0.502 0.167
Ni: 0.754 0.998 0.167
H: 0.461 0.750 0.028
H: 0.539 0.250 0.972

Final energy in eV for the cell shown: -52.23
Distance to the lowest polymorph of the same formula in eV per atom: 0.088

---

(13)
# Al2Ni9H

A relaxed structure of Al2Ni9H (PBE, the Alexandria database).

Cell: 3.557 3.557 10.215 Å, 90.00 90.00 90.00°
Fractional positions:
Al: 0.000 0.000 0.178
Al: 0.000 0.000 0.822
Ni: 0.000 0.500 0.000
Ni: 0.000 0.500 0.351
Ni: 0.000 0.500 0.649
Ni: 0.500 0.000 0.000
Ni: 0.500 0.000 0.351
Ni: 0.500 0.000 0.649
Ni: 0.500 0.500 0.174
Ni: 0.500 0.500 0.500
Ni: 0.500 0.500 0.826
H: 0.000 0.000 0.500

Final energy in eV for the cell shown: -64.25

---

(14)
# AlNi4H

A relaxed structure of AlNi4H (PBE, the Alexandria database).

Cell: 3.483 3.451 5.636 Å, 90.00 107.92 90.00°
Fractional positions:
Al: 0.000 0.000 0.000
Ni: 0.163 0.500 0.327
Ni: 0.334 0.000 0.669
Ni: 0.661 0.000 0.323
Ni: 0.832 0.500 0.664
H: 0.365 0.500 0.729

Final energy in eV for the cell shown: -30.80

---

(15)
# AlNi2H

A relaxed structure of AlNi2H (PBE, the Alexandria database).

Cell: 4.657 4.657 4.657 Å, 107.47 107.47 113.56°
Fractional positions:
Al: 0.000 0.000 0.000
Al: 0.750 0.250 0.500
Ni: 0.231 0.625 0.106
Ni: 0.375 0.481 0.606
Ni: 0.519 0.125 0.894
Ni: 0.875 0.769 0.394
H: 0.250 0.750 0.500
H: 0.500 0.500 0.000

Final energy in eV for the cell shown: -39.46
Distance to the lowest polymorph of the same formula in eV per atom: 0.000

---

(16)
# Al3Ni5H12

A relaxed structure of Al3Ni5H12 (PBE, the Alexandria database).

Cell: 9.047 9.047 9.047 Å, 109.47 109.47 109.47°
Fractional positions:
Al: 0.125 0.250 0.375
Al: 0.125 0.375 0.750
Al: 0.250 0.375 0.125
Al: 0.250 0.875 0.625
Al: 0.375 0.125 0.250
Al: 0.375 0.750 0.125
Al: 0.625 0.250 0.875
Al: 0.625 0.875 0.750
Al: 0.750 0.125 0.375
Al: 0.750 0.625 0.875
Al: 0.875 0.625 0.250
Al: 0.875 0.750 0.625
Ni: 0.000 0.000 0.000
Ni: 0.000 0.000 0.500
Ni: 0.000 0.500 0.000
Ni: 0.000 0.500 0.500
Ni: 0.125 0.750 0.875
Ni: 0.125 0.875 0.250
Ni: 0.250 0.125 0.875
Ni: 0.250 0.625 0.375
Ni: 0.375 0.250 0.625
Ni: 0.375 0.625 0.750
Ni: 0.500 0.000 0.000
Ni: 0.500 0.000 0.500
Ni: 0.500 0.500 0.000
Ni: 0.500 0.500 0.500
Ni: 0.625 0.375 0.250
Ni: 0.625 0.750 0.375
Ni: 0.750 0.375 0.625
Ni: 0.750 0.875 0.125
Ni: 0.875 0.125 0.750
Ni: 0.875 0.250 0.125
H: 0.036 0.209 0.127
H: 0.036 0.327 0.908
H: 0.082 0.709 0.673
H: 0.082 0.873 0.408
H: 0.092 0.627 0.418
H: 0.092 0.964 0.673
H: 0.127 0.036 0.209
H: 0.127 0.592 0.918
H: 0.173 0.209 0.582
H: 0.173 0.464 0.592
H: 0.209 0.127 0.036
H: 0.209 0.582 0.173
H: 0.291 0.327 0.918
H: 0.291 0.464 0.373
H: 0.327 0.908 0.036
H: 0.327 0.918 0.291
H: 0.373 0.291 0.464
H: 0.373 0.582 0.908
H: 0.408 0.082 0.873
H: 0.408 0.827 0.536
H: 0.418 0.092 0.627
H: 0.418 0.827 0.791
H: 0.464 0.373 0.291
H: 0.464 0.592 0.173
H: 0.536 0.408 0.827
H: 0.536 0.627 0.709
H: 0.582 0.173 0.209
H: 0.582 0.908 0.373
H: 0.592 0.173 0.464
H: 0.592 0.918 0.127
H: 0.627 0.418 0.092
H: 0.627 0.709 0.536
H: 0.673 0.082 0.709
H: 0.673 0.092 0.964
H: 0.709 0.536 0.627
H: 0.709 0.673 0.082
H: 0.791 0.418 0.827
H: 0.791 0.873 0.964
H: 0.827 0.536 0.408
H: 0.827 0.791 0.418
H: 0.873 0.408 0.082
H: 0.873 0.964 0.791
H: 0.908 0.036 0.327
H: 0.908 0.373 0.582
H: 0.918 0.127 0.592
H: 0.918 0.291 0.327
H: 0.964 0.673 0.092
H: 0.964 0.791 0.873

Final energy in eV for the cell shown: -310.72

---

(17)
# AlNi2H2

A relaxed structure of AlNi2H2 (PBE, the Alexandria database).

Cell: 4.924 4.924 4.924 Å, 144.31 144.31 51.36°
Fractional positions:
Al: 0.000 0.000 0.000
Ni: 0.349 0.349 0.000
Ni: 0.651 0.651 0.000
H: 0.250 0.750 0.500
H: 0.750 0.250 0.500

Final energy in eV for the cell shown: -23.25
Distance to the lowest polymorph of the same formula in eV per atom: 0.000

---

(18)
# AlNiH2

A relaxed structure of AlNiH2 (PBE, the Alexandria database).

Cell: 3.570 3.570 3.570 Å, 60.00 60.00 60.00°
Fractional positions:
Al: 0.000 0.000 0.000
Ni: 0.500 0.500 0.500
H: 0.250 0.250 0.250
H: 0.750 0.750 0.750

Final energy in eV for the cell shown: -14.40
Distance to the lowest polymorph of the same formula in eV per atom: 0.359

---

(19)
# AlNi3H

A relaxed structure of AlNi3H (PBE, the Alexandria database).

Cell: 6.725 6.725 4.925 Å, 110.45 110.45 30.72°
Fractional positions:
Al: 0.172 0.172 0.284
Al: 0.828 0.828 0.716
Ni: 0.019 0.019 0.771
Ni: 0.213 0.213 0.824
Ni: 0.402 0.402 0.484
Ni: 0.598 0.598 0.516
Ni: 0.787 0.787 0.176
Ni: 0.981 0.981 0.229
H: 0.330 0.330 0.127
H: 0.670 0.670 0.873

Final energy in eV for the cell shown: -49.81
Distance to the lowest polymorph of the same formula in eV per atom: 0.330